AgBiC3 | PBE | relaxed

Unit cell a=4.249 b=4.249 c=4.249 alpha=90.00 beta=90.00 gamma=90.00
Space group Pm-3m (No. 221)
Unique sites:
Ag  0.000  0.000  0.000 [1 per cell]
Bi  0.500  0.500  0.500 [1 per cell]
C  0.000  0.000  0.500 [3 per cell]

Summary:
- formation enthalpy at 0 K (meV/atom) = 2971
- N(E_F) (states/eV/cell) = 5.0

***

Hf3Pd2Rh2 | PBE | relaxed

Unit cell a=8.806 b=4.109 c=6.976 alpha=90.00 beta=104.85 gamma=90.00
Space group C2/m (No. 12)
Unique sites:
Hf  0.000  0.000  0.000 [2 per cell]
Hf  0.107  0.500  0.711 [4 per cell]
Pd  0.132  0.000  0.424 [4 per cell]
Rh  0.196  0.500  0.124 [4 per cell]

Summary:
- formation enthalpy at 0 K (meV/atom) = -794
- N(E_F) (states/eV/cell) = 6.8

***

K8GeSe6 | PBE | relaxed

Unit cell a=9.092 b=9.162 c=13.566 alpha=90.00 beta=90.00 gamma=90.00
Space group Pmn2_1 (No. 31)
Unique sites:
K  0.000  0.052  0.000 [2 per cell]
K  0.000  0.178  0.405 [2 per cell]
K  0.199  0.800  0.737 [4 per cell]
K  0.206  0.681  0.146 [4 per cell]
K  0.248  0.532  0.404 [4 per cell]
Ge  0.000  0.838  0.480 [2 per cell]
Se  0.000  0.025  0.608 [2 per cell]
Se  0.000  0.406  0.233 [2 per cell]
Se  0.000  0.607  0.569 [2 per cell]
Se  0.000  0.712  0.944 [2 per cell]
Se  0.207  0.873  0.372 [4 per cell]

Summary:
- formation energy (no corrections) (eV/atom) = -0.9723

***

ScPaMnRh | PBE | relaxed

Unit cell a=6.612 b=6.612 c=6.612 alpha=90.00 beta=90.00 gamma=90.00
Space group F-43m (No. 216)
Unique sites:
Sc  0.000  0.000  0.000 [4 per cell]
Pa  0.000  0.000  0.500 [4 per cell]
Mn  0.250  0.250  0.750 [4 per cell]
Rh  0.250  0.250  0.250 [4 per cell]

Summary:
- formation enthalpy at 0 K (meV/atom) = -330
- N(E_F) (states/eV/cell) = 10.3

***

Nd4Dy10Tm | PBE | relaxed

Unit cell a=11.309 b=11.309 c=7.921 alpha=90.00 beta=90.00 gamma=90.00
Space group I4/mmm (No. 139)
Unique sites:
Nd  0.228  0.228  0.000 [8 per cell]
Dy  0.000  0.208  0.292 [16 per cell]
Dy  0.000  0.500  0.250 [4 per cell]
Tm  0.000  0.000  0.000 [2 per cell]

Summary:
- formation enthalpy at 0 K (meV/atom) = 264
- N(E_F) (states/eV/cell) = 44.8

***

NdHoZr | PBE | relaxed

Unit cell a=3.756 b=24.566 c=3.950 alpha=90.00 beta=90.00 gamma=90.00
Space group Cmcm (No. 63)
Unique sites:
Nd  0.000  0.058  0.250 [4 per cell]
Ho  0.000  0.352  0.250 [4 per cell]
Zr  0.000  0.223  0.250 [4 per cell]

Summary:
- formation enthalpy at 0 K (meV/atom) = 146
- N(E_F) (states/eV/cell) = 15.8

***

Cs5TiSe4 | PBE | relaxed

Unit cell a=10.193 b=11.094 c=8.463 alpha=90.00 beta=90.00 gamma=90.00
Space group Pmmn (No. 59, origin choice 2)
Unique sites:
Cs  0.006  0.062  0.230 [8 per cell]
Cs  0.250  0.750  0.364 [2 per cell]
Ti  0.250  0.250  0.701 [2 per cell]
Se  0.052  0.250  0.867 [4 per cell]
Se  0.250  0.066  0.538 [4 per cell]

Summary:
- N(E_F) (states/eV/cell) = 10.8
- formation energy (no corrections) (eV/atom) = -1.1012

***

Ni3P4 | PBE | relaxed

Unit cell a=5.0391 b=5.0391 c=4.1253 alpha=90.00 beta=90.00 gamma=120.00
Space group P6/mmm (No. 191)
Unique sites:
Ni  0.0000  0.5000  0.0000 [3 per cell]
P  0.0000  0.0000  0.2506 [2 per cell]
P  0.3333  0.6667  0.5000 [2 per cell]

Summary:
- formation enthalpy at 0 K (meV/atom) = 330
- N(E_F) (states/eV/cell) = 3.9

***

| no. | total magnetization (μB per formula unit) |
| --- | --- |
| 1 | 1.5 |
| 2 | 0.0 |
| 3 | 0.0 |
| 4 | 0.0 |
| 5 | 0.0 |
| 6 | 0.0 |
| 7 | 0.8 |
| 8 | 0.0 |